# 1
First-principles (GGA-PBE) data for a geometry-optimized LaPr2Er7 structure, as listed in Alexandria via LeMat-Bulk.

Lattice parameters (Å, degrees): 5.388 9.495 9.495 126.26 90.00 90.00
Element x y z (fractional)
Er  0.500  0.500  0.500
Er  0.500  0.933  0.712
Er  0.500  0.712  0.933
Er  0.500  0.288  0.067
Er  0.000  0.206  0.794
Er  0.000  0.794  0.206
Er  0.500  0.067  0.288
La  0.000  0.000  0.000
Pr  0.500  0.702  0.298
Pr  0.500  0.298  0.702

## Properties
Space group: Cmmm
E: -39.623 eV per cell
Energy of formation from the pure elements: 680.3 meV per atom
Density of states at the Fermi level: 14.678 states/eV per cell

=====

# 2
First-principles (GGA-PBE) data for a geometry-optimized La4Pr3Er4 structure, as listed in Alexandria via LeMat-Bulk.

Lattice parameters (Å, degrees): 5.808 6.404 11.637 90.00 90.00 116.97
Element x y z (fractional)
Er  0.084  0.168  0.259
Er  0.643  0.286  0.500
Er  0.084  0.168  0.741
Er  0.558  0.117  0.000
La  0.744  0.489  0.219
La  0.947  0.894  0.000
La  0.953  0.907  0.500
La  0.744  0.489  0.781
Pr  0.251  0.502  0.000
Pr  0.395  0.789  0.685
Pr  0.395  0.789  0.315

## Properties
Space group: Amm2
E: -50.373 eV per cell
Energy of formation from the pure elements: 175.1 meV per atom
Density of states at the Fermi level: 16.329 states/eV per cell

=====

# 3
First-principles (GGA-PBE) data for a geometry-optimized La2Pr2Er3 structure, as listed in Alexandria via LeMat-Bulk.

Lattice parameters (Å, degrees): 6.311 6.311 9.678 70.40 123.29 132.28
Element x y z (fractional)
Pr  0.569  0.286  0.856
Pr  0.431  0.714  0.144
Er  0.716  0.855  0.571
Er  0.000  0.000  0.000
Er  0.284  0.145  0.429
La  0.857  0.432  0.288
La  0.143  0.568  0.712

## Properties
Space group: C2/m
E: -32.895 eV per cell
Energy of formation from the pure elements: 29.7 meV per atom
Density of states at the Fermi level: 11.754 states/eV per cell

=====

# 4
First-principles (GGA-PBE) data for a geometry-optimized La2PrEr12 structure, as listed in Alexandria via LeMat-Bulk.

Lattice parameters (Å, degrees): 6.421 6.421 25.029 90.00 90.00 90.00
Element x y z (fractional)
Er  0.000  0.000  0.658
Er  0.815  0.315  0.882
Er  0.169  0.331  0.440
Er  0.169  0.669  0.560
Er  0.185  0.685  0.882
Er  0.669  0.169  0.440
Er  0.831  0.669  0.440
Er  0.331  0.169  0.560
Er  0.185  0.315  0.118
Er  0.831  0.331  0.560
Er  0.000  0.000  0.216
Er  0.315  0.185  0.882
Er  0.315  0.815  0.118
Er  0.500  0.500  0.342
Er  0.815  0.685  0.118
Er  0.685  0.815  0.882
Er  0.669  0.831  0.560
Er  0.500  0.500  0.216
Er  0.500  0.500  0.784
Er  0.500  0.500  0.658
Er  0.000  0.000  0.342
Er  0.000  0.000  0.784
Er  0.331  0.831  0.440
Er  0.685  0.185  0.118
La  0.000  0.500  0.274
La  0.000  0.500  0.726
La  0.500  0.000  0.274
La  0.500  0.000  0.726
Pr  0.000  0.500  0.000
Pr  0.500  0.000  0.000

## Properties
Space group: P4/nbm
E: -129.343 eV per cell
Energy of formation from the pure elements: 314.5 meV per atom
Density of states at the Fermi level: 52.723 states/eV per cell

=====

# 5
First-principles (GGA-PBE) data for a geometry-optimized La4Pr2Er structure, as listed in Alexandria via LeMat-Bulk.

Lattice parameters (Å, degrees): 6.987 9.238 9.238 78.87 67.78 67.78
Element x y z (fractional)
La  0.775  0.756  0.256
La  0.853  0.642  0.652
La  0.787  0.244  0.744
La  0.853  0.152  0.142
La  0.225  0.244  0.744
La  0.213  0.756  0.256
La  0.147  0.358  0.348
La  0.147  0.848  0.858
Er  0.000  0.500  0.000
Er  0.500  0.500  0.000
Pr  0.500  0.000  0.000
Pr  0.282  0.968  0.468
Pr  0.500  0.500  0.500
Pr  0.718  0.032  0.532

## Properties
Space group: Imma
E: -65.006 eV per cell
Energy of formation from the pure elements: 189.8 meV per atom
Density of states at the Fermi level: 19.086 states/eV per cell

=====

# 6
First-principles (GGA-PBE) data for a geometry-optimized LaPr4Er3 structure, as listed in Alexandria via LeMat-Bulk.

Lattice parameters (Å, degrees): 3.518 11.822 9.028 130.89 101.24 90.00
Element x y z (fractional)
Er  0.760  0.760  0.520
Er  0.000  0.500  0.000
Er  0.240  0.240  0.480
La  0.500  0.000  0.000
Pr  0.633  0.384  0.266
Pr  0.367  0.616  0.734
Pr  0.367  0.117  0.733
Pr  0.633  0.883  0.267

## Properties
Space group: Immm
E: -36.686 eV per cell
Energy of formation from the pure elements: 131.1 meV per atom
Density of states at the Fermi level: 14.581 states/eV per cell

=====

# 7
First-principles (GGA-PBE) data for a geometry-optimized La5Pr8Er structure, as listed in Alexandria via LeMat-Bulk.

Lattice parameters (Å, degrees): 8.732 8.732 8.732 110.45 107.54 110.45
Element x y z (fractional)
La  0.868  0.895  0.186
La  0.814  0.682  0.709
La  0.500  0.000  0.500
La  0.027  0.318  0.132
La  0.291  0.105  0.973
Pr  0.332  0.262  0.439
Pr  0.523  0.599  0.261
Pr  0.662  0.401  0.924
Pr  0.176  0.738  0.070
Pr  0.076  0.738  0.477
Pr  0.561  0.894  0.824
Pr  0.930  0.106  0.668
Pr  0.739  0.262  0.338
Er  0.250  0.500  0.750

## Properties
Space group: I-4
E: -64.379 eV per cell
Energy of formation from the pure elements: 218.4 meV per atom
Density of states at the Fermi level: 22.834 states/eV per cell

=====

# 8
First-principles (GGA-PBE) data for a geometry-optimized LaPr7Er4 structure, as listed in Alexandria via LeMat-Bulk.

Lattice parameters (Å, degrees): 6.066 9.778 8.671 62.57 69.53 71.93
Site moments in Bohr magnetons follow the coordinates.
Element x y z (fractional)
Pr  0.218  0.751  0.813  0.00
Pr  0.500  0.000  0.000  -0.11
Pr  0.782  0.249  0.187  0.00
Pr  0.782  0.889  0.546  0.00
Pr  0.090  0.540  0.280  0.00
Pr  0.910  0.460  0.720  0.00
Pr  0.218  0.111  0.454  0.00
Er  0.333  0.372  0.961  0.00
Er  0.432  0.699  0.437  0.00
Er  0.568  0.301  0.563  0.00
Er  0.667  0.628  0.039  0.00
La  0.000  0.000  0.000  -0.10

## Properties
Space group: C2/m
E: -54.339 eV per cell
Energy of formation from the pure elements: 191.4 meV per atom
Density of states at the Fermi level: 19.071 states/eV per cell

=====

> Which formula does entry 3 have?

La2Pr2Er3